Model i:
A plane-wave DFT calculation with PBE was carried out for a geometry-optimized Tb4TmAl2 structure.

mass density	6.48	Mg/m³
magnetization	0.001	μB/f.u.

Lattice parameters (Å, degrees): 5.0310 5.0310 30.1019 90.00 90.00 120.00
Space group R-3m (No. 166, hexagonal axes)
Unique sites:
Tb 0.0000 0.0000 0.1035
Tb 0.0000 0.0000 0.2978
Tm 0.0000 0.0000 0.5000
Al 0.0000 0.0000 0.4010

=====

Model ii:
A plane-wave DFT calculation with PBE was carried out for a geometry-optimized Tb4TmAl2 structure.

mass density	7.24	Mg/m³
magnetization	0.000	μB/f.u.

Lattice parameters (Å, degrees): 6.819 10.323 5.963 90.00 110.15 90.00
Space group C2/m (No. 12)
Unique sites:
Tb 0.000 0.159 0.000
Tb 0.000 0.293 0.500
Tm 0.000 0.500 0.000
Al 0.184 0.000 0.492

=====

Stability ranking, top entry: model ii; the second entry is 17.6 kJ/mol of atoms less favorable.

=====

Model i:
A plane-wave DFT calculation with PBE was carried out for a geometry-optimized Tb2AlV structure.

mass density	6.94	Mg/m³
magnetization	3.601	μB/f.u.

Lattice parameters (Å, degrees): 5.042 5.042 3.723 90.00 90.00 90.00
Space group P4/mmm (No. 123)
Unique sites:
Tb 0.000 0.500 0.000
Al 0.000 0.000 0.500
V 0.500 0.500 0.500

=====

Model ii:
A plane-wave DFT calculation with PBE was carried out for a geometry-optimized Tb2AlV structure.

mass density	6.98	Mg/m³
magnetization	3.348	μB/f.u.

Lattice parameters (Å, degrees): 7.222 7.222 7.222 90.00 90.00 90.00
Space group Fm-3m (No. 225)
Unique sites:
Tb 0.250 0.250 0.250
Al 0.000 0.000 0.000
V 0.000 0.000 0.500

=====

Model iii:
A plane-wave DFT calculation with PBE was carried out for a geometry-optimized Tb2AlV structure.

mass density	6.57	Mg/m³
magnetization	3.138	μB/f.u.

Lattice parameters (Å, degrees): 3.3006 3.3006 31.7989 90.00 90.00 120.00
Space group R-3m (No. 166, hexagonal axes)
Unique sites:
Tb 0.0000 0.0000 0.0906
Al 0.0000 0.0000 0.5000
V 0.0000 0.0000 0.0000

=====

Stability ranking, top entry: model ii; the second entry is 1.4 kJ/mol of atoms less favorable.

=====

Model i:
A plane-wave DFT calculation with PBE was carried out for a geometry-optimized Tb3YAl2 structure.

mass density	6.42	Mg/m³
magnetization	0.000	μB/f.u.

Lattice parameters (Å, degrees): 5.121 9.503 6.588 90.00 90.00 90.00
Space group Pmc2_1 (No. 26)
Unique sites:
Tb 0.000 0.042 0.000
Tb 0.000 0.324 0.340
Tb 0.500 0.176 0.714
Y 0.500 0.458 0.053
Al 0.000 0.353 0.819
Al 0.500 0.148 0.235

=====

Model ii:
A plane-wave DFT calculation with PBE was carried out for a geometry-optimized Tb3YAl2 structure.

mass density	6.39	Mg/m³
magnetization	0.000	μB/f.u.

Lattice parameters (Å, degrees): 16.061 5.158 9.105 90.00 121.31 90.00
Space group C2/m (No. 12)
Unique sites:
Tb 0.060 0.000 0.215
Tb 0.118 0.500 0.035
Tb 0.186 0.500 0.496
Y 0.130 0.000 0.681
Al 0.025 0.500 0.659
Al 0.236 0.000 0.099

=====

Stability ranking, top entry: model i; the second entry is 10.1 kJ/mol of atoms less favorable.

=====

Model i:
A plane-wave DFT calculation with PBE was carried out for a geometry-optimized TbYAl structure.

mass density	5.66	Mg/m³
magnetization	0.000	μB/f.u.

Lattice parameters (Å, degrees): 3.456 3.456 13.502 90.00 90.00 90.00
Space group I4mm (No. 107)
Unique sites:
Tb 0.000 0.000 0.000
Y 0.000 0.000 0.296
Al 0.000 0.000 0.648

=====

Model ii:
A plane-wave DFT calculation with PBE was carried out for a geometry-optimized TbYAl structure.

mass density	5.46	Mg/m³
magnetization	0.422	μB/f.u.

Lattice parameters (Å, degrees): 4.527 4.527 8.158 90.00 90.00 90.00
Space group P4/nmm (No. 129, origin choice 2)
Unique sites:
Tb 0.250 0.750 0.000
Y 0.250 0.250 0.358
Al 0.250 0.250 0.733

=====

Stability ranking, top entry: model i; the second entry is 7.4 kJ/mol of atoms less favorable.